# 1
This record from the Open Quantum Materials Database describes a relaxed RbTbTmTe3 crystal. The functional is PBE.

Computed properties:
energy above the most stable polymorph in this dataset = 33 meV per atom
M_tot = 0.25 μB per formula unit
space-group type = Cmcm (63)

Unit cell a=8.7649 b=8.7649 c=11.7221 alpha=90.00 beta=90.00 gamma=148.80
Each line ends with the local moment (μB).
Fractional coordinates of all 12 atoms:
1 Te 0.9282 0.0718 0.7500  -0.01
2 Te 0.6227 0.3773 0.5370  0.00
3 Rb 0.7456 0.2544 0.2500  0.00
4 Tm 0.0000 0.0000 0.5000  0.08
5 Tm 0.0000 0.0000 0.0000  0.08
6 Te 0.0718 0.9282 0.2500  -0.01
7 Tb 0.5324 0.4676 0.7500  0.08
8 Te 0.6227 0.3773 0.9630  0.00
9 Te 0.3773 0.6227 0.0370  0.00
10 Tb 0.4676 0.5324 0.2500  0.08
11 Te 0.3773 0.6227 0.4630  0.00
12 Rb 0.2544 0.7456 0.7500  0.00

# 2
This record from the Open Quantum Materials Database describes a relaxed NdCuGeSe3 crystal. The functional is PBE.

Computed properties:
M_tot = 0.00 μB per formula unit
space-group type = Cmcm (63)

Unit cell a=3.9682 b=6.8840 c=10.8938 alpha=90.00 beta=90.00 gamma=73.25
Fractional coordinates of all 12 atoms:
1 Se 0.3494 0.3013 0.9183
2 Se 0.3494 0.3013 0.5817
3 Nd 0.0000 0.0000 0.5000
4 Ge 0.2243 0.5513 0.2500
5 Nd 0.0000 0.0000 0.0000
6 Se 0.6506 0.6987 0.4183
7 Ge 0.7757 0.4487 0.7500
8 Cu 0.4741 0.0517 0.7500
9 Cu 0.5259 0.9483 0.2500
10 Se 0.6506 0.6987 0.0817
11 Se 0.0911 0.8179 0.7500
12 Se 0.9089 0.1821 0.2500

# 3
This record from the Open Quantum Materials Database describes a relaxed Pr2Sc crystal. The functional is PBE.

Computed properties:
energy above the most stable polymorph in this dataset = 0 meV per atom
M_tot = 0.14 μB per formula unit
formation energy from the elements = 0.38 eV per atom
space-group type = Fd-3m (227)

Unit cell a=6.5447 b=6.5447 c=6.5447 alpha=60.00 beta=60.00 gamma=60.00
Fractional coordinates of all 6 atoms:
1 Sc 0.2500 0.2500 0.2500
2 Pr 0.6250 0.1250 0.6250
3 Pr 0.1250 0.6250 0.6250
4 Pr 0.6250 0.6250 0.1250
5 Sc 0.0000 0.0000 0.0000
6 Pr 0.6250 0.6250 0.6250

# 4
This record from the Open Quantum Materials Database describes a relaxed RbLuBAu crystal. The functional is PBE.

Computed properties:
energy above the most stable polymorph in this dataset = 0 meV per atom
M_tot = 0.00 μB per formula unit
space-group type = F-43m (216)

Unit cell a=5.0666 b=5.0666 c=5.0666 alpha=60.00 beta=60.00 gamma=60.00
Fractional coordinates of all 4 atoms:
1 Lu 0.0000 0.0000 0.0000
2 Au 0.7500 0.7500 0.7500
3 Rb 0.5000 0.5000 0.5000
4 B 0.2500 0.2500 0.2500

# 5
This record from the Open Quantum Materials Database describes a relaxed NbCdNO crystal. The functional is PBE.

Computed properties:
energy above the most stable polymorph in this dataset = 14 meV per atom
M_tot = 0.00 μB per formula unit
space-group type = Pmc2_1 (26)

Unit cell a=3.2589 b=7.0747 c=5.7906 alpha=90.00 beta=90.00 gamma=90.00
Fractional coordinates of all 8 atoms:
1 N 0.0000 0.9424 0.2908
2 Nb 0.5000 0.9868 0.1068
3 Cd 0.0000 0.0638 0.6582
4 O 0.5000 0.7610 0.9085
5 N 0.0000 0.4424 0.7092
6 Cd 0.0000 0.5638 0.3418
7 O 0.5000 0.2610 0.0915
8 Nb 0.5000 0.4868 0.8932

# 6
This record from the Open Quantum Materials Database describes a relaxed HfZrZnCo crystal. The functional is PBE.

Computed properties:
energy above the most stable polymorph in this dataset = 0 meV per atom
M_tot = 0.99 μB per formula unit
formation energy from the elements = 0.10 eV per atom
space-group type = F-43m (216)

Unit cell a=4.5524 b=4.5524 c=4.5524 alpha=60.00 beta=60.00 gamma=60.00
Each line ends with the local moment (μB).
Fractional coordinates of all 4 atoms:
1 Zn 0.0000 0.0000 0.0000  0.01
2 Co 0.7500 0.7500 0.7500  0.26
3 Zr 0.2500 0.2500 0.2500  0.46
4 Hf 0.5000 0.5000 0.5000  0.19

# 7
This record from the Open Quantum Materials Database describes a relaxed Ba2NaAs2Au crystal. The functional is PBE.

Computed properties:
space-group type = P-6m2 (187)

Unit cell a=4.7659 b=4.7659 c=8.8417 alpha=90.00 beta=90.00 gamma=120.00
Fractional coordinates of all 6 atoms:
1 As 0.6667 0.3333 0.0000
2 Na 0.6667 0.3333 0.5000
3 Au 0.0000 0.0000 0.0000
4 As 0.0000 0.0000 0.5000
5 Ba 0.3333 0.6667 0.7520
6 Ba 0.3333 0.6667 0.2480

# 8
This record from the Open Quantum Materials Database describes a relaxed Cu crystal. The functional is PBE.

Computed properties:
energy above the most stable polymorph in this dataset = 105 meV per atom
formation energy from the elements = 0.10 eV per atom
space-group type = P-3m1 (164)

Unit cell a=2.5273 b=2.5273 c=26.7116 alpha=90.00 beta=90.00 gamma=120.00
Fractional coordinates of all 9 atoms:
1 Cu 0.0000 0.0000 0.0000
2 Cu 0.3333 0.6667 0.6868
3 Cu 0.6667 0.3333 0.3132
4 Cu 0.0000 0.0000 0.7656
5 Cu 0.6667 0.3333 0.0779
6 Cu 0.6667 0.3333 0.8439
7 Cu 0.3333 0.6667 0.9221
8 Cu 0.3333 0.6667 0.1561
9 Cu 0.0000 0.0000 0.2344

# 9
This record from the Open Quantum Materials Database describes a relaxed Er3Si4Pt crystal. The functional is PBE.

Computed properties:
M_tot = 0.01 μB per formula unit
space-group type = Pm (6)

Unit cell a=5.6295 b=3.8141 c=7.4685 alpha=90.00 beta=97.62 gamma=90.00
Fractional coordinates of all 8 atoms:
1 Si 0.2058 0.5000 0.9906
2 Pt 0.2941 0.0000 0.2410
3 Si 0.3413 0.5000 0.4542
4 Si 0.6240 0.0000 0.5229
5 Si 0.9330 0.0000 0.0191
6 Er 0.6493 0.5000 0.8099
7 Er 0.1272 0.0000 0.6699
8 Er 0.8252 0.5000 0.2924

# 10
This record from the Open Quantum Materials Database describes a relaxed Y3TmPd4 crystal. The functional is PBE.

Computed properties:
M_tot = 0.02 μB per formula unit
formation energy from the elements = -0.93 eV per atom
space-group type = Pm (6)

Unit cell a=5.5962 b=4.5552 c=6.9257 alpha=90.00 beta=90.41 gamma=90.00
Fractional coordinates of all 8 atoms:
1 Pd 0.1568 0.5000 0.4659
2 Y 0.6425 0.5000 0.3181
3 Y 0.8562 0.5000 0.8175
4 Y 0.1434 0.0000 0.1831
5 Pd 0.8466 0.0000 0.5441
6 Pd 0.3467 0.5000 0.9510
7 Tm 0.3577 0.0000 0.6821
8 Pd 0.6501 0.0000 0.0381

# 11
This record from the Open Quantum Materials Database describes a relaxed CdPb2IBrO2 crystal. The functional is PBE.

Computed properties:
space-group type = Cm (8)

Unit cell a=6.6016 b=6.6016 c=8.2363 alpha=119.70 beta=119.70 gamma=35.17
Fractional coordinates of all 7 atoms:
1 Br 0.5624 0.5624 0.3024
2 I 0.4329 0.4329 0.6809
3 O 0.8091 0.8091 0.9400
4 Cd 0.0029 0.0029 0.0112
5 O 0.1923 0.1923 0.0649
6 Pb 0.1941 0.1941 0.7819
7 Pb 0.8064 0.8064 0.2186

# 12
This record from the Open Quantum Materials Database describes a relaxed SmGdNi2Ge2 crystal. The functional is PBE.

Computed properties:
M_tot = 0.05 μB per formula unit
space-group type = P4mm (99)

Unit cell a=4.1849 b=4.1849 c=6.5574 alpha=90.00 beta=90.00 gamma=90.00
Fractional coordinates of all 6 atoms:
1 Sm 0.5000 0.5000 0.3128
2 Ni 0.5000 0.0000 0.9985
3 Ge 0.0000 0.0000 0.1983
4 Ni 0.0000 0.5000 0.9985
5 Gd 0.0000 0.0000 0.6927
6 Ge 0.5000 0.5000 0.7992

# 13
This record from the Open Quantum Materials Database describes a relaxed LiHfCuSn crystal. The functional is PBE.

Computed properties:
energy above the most stable polymorph in this dataset = 145 meV per atom
M_tot = 0.00 μB per formula unit
space-group type = F-43m (216)

Unit cell a=4.6426 b=4.6426 c=4.6426 alpha=60.00 beta=60.00 gamma=60.00
Fractional coordinates of all 4 atoms:
1 Cu 0.7500 0.7500 0.7500
2 Hf 0.2500 0.2500 0.2500
3 Li 0.5000 0.5000 0.5000
4 Sn 0.0000 0.0000 0.0000

# 14
This record from the Open Quantum Materials Database describes a relaxed NdGdH2Cl4 crystal. The functional is PBE.

Computed properties:
M_tot = 0.00 μB per formula unit
space-group type = P-6m2 (187)

Unit cell a=3.8550 b=3.8550 c=13.3151 alpha=90.00 beta=90.00 gamma=120.00
Fractional coordinates of all 8 atoms:
1 Nd 0.0000 0.0000 0.5000
2 Gd 0.0000 0.0000 0.0000
3 Cl 0.3333 0.6667 0.1301
4 H 0.3333 0.6667 0.5000
5 Cl 0.6667 0.3333 0.3647
6 H 0.6667 0.3333 0.0000
7 Cl 0.3333 0.6667 0.8699
8 Cl 0.6667 0.3333 0.6353

# 15
This record from the Open Quantum Materials Database describes a relaxed Sm4C2I2Br2Cl crystal. The functional is PBE.

Computed properties:
energy above the most stable polymorph in this dataset = 0 meV per atom
M_tot = 0.01 μB per formula unit
space-group type = C2/m (12)

Unit cell a=10.1324 b=10.1324 c=8.1713 alpha=103.36 beta=103.36 gamma=22.16
Fractional coordinates of all 11 atoms:
1 I 0.8329 0.8329 0.6894
2 Br 0.1561 0.1561 0.8655
3 C 0.4637 0.4637 0.4780
4 I 0.1671 0.1671 0.3106
5 Sm 0.3483 0.3483 0.4009
6 Sm 0.9989 0.9989 0.2955
7 Cl 0.5000 0.5000 0.0000
8 C 0.5363 0.5363 0.5220
9 Sm 0.6517 0.6517 0.5991
10 Sm 0.0011 0.0011 0.7045
11 Br 0.8439 0.8439 0.1345

# 16
This record from the Open Quantum Materials Database describes a relaxed ScCoGeOs crystal. The functional is PBE.

Computed properties:
energy above the most stable polymorph in this dataset = 0 meV per atom
M_tot = 0.00 μB per formula unit
space-group type = F-43m (216)

Unit cell a=4.3169 b=4.3169 c=4.3169 alpha=60.00 beta=60.00 gamma=60.00
Fractional coordinates of all 4 atoms:
1 Co 0.7500 0.7500 0.7500
2 Ge 0.0000 0.0000 0.0000
3 Sc 0.5000 0.5000 0.5000
4 Os 0.2500 0.2500 0.2500

# 17
This record from the Open Quantum Materials Database describes a relaxed Hf2ZnRe crystal. The functional is PBE.

Computed properties:
M_tot = 0.00 μB per formula unit
formation energy from the elements = 0.08 eV per atom
space-group type = F-43m (216)

Unit cell a=4.6160 b=4.6160 c=4.6160 alpha=60.00 beta=60.00 gamma=60.00
Fractional coordinates of all 4 atoms:
1 Hf 0.7500 0.7500 0.7500
2 Re 0.5000 0.5000 0.5000
3 Hf 0.0000 0.0000 0.0000
4 Zn 0.2500 0.2500 0.2500

# 18
This record from the Open Quantum Materials Database describes a relaxed Si3SnPd4 crystal. The functional is PBE.

Computed properties:
space-group type = Pm (6)

Unit cell a=5.8146 b=3.5432 c=6.3093 alpha=90.00 beta=90.13 gamma=90.00
Fractional coordinates of all 8 atoms:
1 Si 0.3080 0.0000 0.4107
2 Pd 0.0217 0.0000 0.6957
3 Si 0.8164 0.0000 0.0709
4 Pd 0.4821 0.0000 0.8370
5 Si 0.1820 0.5000 0.9253
6 Sn 0.6818 0.5000 0.5828
7 Pd 0.4968 0.5000 0.1896
8 Pd 0.0112 0.5000 0.2881

# 19
This record from the Open Quantum Materials Database describes a relaxed In2SiAg2Se6 crystal. The functional is PBE.

Computed properties:
space-group type = Cc (9)

Unit cell a=7.4518 b=7.4518 c=12.7839 alpha=106.63 beta=73.37 gamma=119.13
Fractional coordinates of all 22 atoms:
1 Se 0.1708 0.3610 0.8142
2 Ag 0.1938 0.9904 0.7529
3 In 0.4901 0.3208 0.0608
4 Ag 0.0096 0.8062 0.2529
5 Ag 0.6040 0.8035 0.9158
6 Ag 0.1965 0.3960 0.4158
7 Se 0.3524 0.1696 0.2470
8 Si 0.0641 0.4019 0.0018
9 Se 0.8304 0.6476 0.7470
10 Se 0.9496 0.5267 0.3726
11 In 0.7056 0.1752 0.2590
12 Se 0.3968 0.1091 0.5480
13 In 0.6792 0.5099 0.5608
14 Se 0.3981 0.6464 0.5853
15 Se 0.9149 0.1011 0.5555
16 Si 0.5981 0.9359 0.5018
17 Se 0.4733 0.0504 0.8726
18 In 0.8248 0.2944 0.7590
19 Se 0.3536 0.6019 0.0853
20 Se 0.6390 0.8292 0.3142
21 Se 0.8989 0.0851 0.0555
22 Se 0.8909 0.6032 0.0480

# 20
This record from the Open Quantum Materials Database describes a relaxed Ba2SbAu crystal. The functional is PBE.

Computed properties:
space-group type = P4/mmm (123)

Unit cell a=5.8163 b=5.8163 c=4.2162 alpha=90.00 beta=90.00 gamma=90.00
Fractional coordinates of all 4 atoms:
1 Sb 0.5000 0.5000 0.0000
2 Ba 0.0000 0.5000 0.5000
3 Ba 0.5000 0.0000 0.5000
4 Au 0.0000 0.0000 0.0000

# 21
This record from the Open Quantum Materials Database describes a relaxed Li2YTaS4 crystal. The functional is PBE.

Computed properties:
M_tot = 0.10 μB per formula unit
space-group type = P-6m2 (187)

Unit cell a=3.5464 b=3.5464 c=12.8978 alpha=90.00 beta=90.00 gamma=120.00
Fractional coordinates of all 8 atoms:
1 Ta 0.0000 0.0000 0.0000
2 Li 0.0000 0.0000 0.2464
3 Y 0.0000 0.0000 0.5000
4 S 0.3333 0.6667 0.6355
5 S 0.3333 0.6667 0.3645
6 Li 0.0000 0.0000 0.7536
7 S 0.6667 0.3333 0.1173
8 S 0.6667 0.3333 0.8827

# 22
This record from the Open Quantum Materials Database describes a relaxed YTaSe4 crystal. The functional is PBE.

Computed properties:
energy above the most stable polymorph in this dataset = 117 meV per atom
M_tot = 1.07 μB per formula unit
space-group type = P-6m2 (187)

Unit cell a=3.5928 b=3.5928 c=13.8096 alpha=90.00 beta=90.00 gamma=120.00
Each line ends with the local moment (μB).
Fractional coordinates of all 6 atoms:
1 Se 0.6667 0.3333 0.3806  0.00
2 Se 0.0000 0.0000 0.1405  0.15
3 Ta 0.0000 0.0000 0.5000  0.35
4 Se 0.0000 0.0000 0.8595  0.15
5 Se 0.6667 0.3333 0.6194  0.00
6 Y 0.6667 0.3333 0.0000  0.04

# 23
This record from the Open Quantum Materials Database describes a relaxed GdTm2Al3CoCu2 crystal. The functional is PBE.

Computed properties:
M_tot = 0.03 μB per formula unit
space-group type = Amm2 (38)

Unit cell a=4.0261 b=6.9046 c=6.9046 alpha=119.78 beta=90.00 gamma=90.00
Fractional coordinates of all 9 atoms:
1 Al 0.5000 0.2277 0.9983
2 Al 0.5000 0.9983 0.2277
3 Tm 0.0000 0.0006 0.5918
4 Cu 0.5000 0.3317 0.6713
5 Co 0.0000 0.9947 0.9947
6 Gd 0.0000 0.4121 0.4121
7 Tm 0.0000 0.5918 0.0006
8 Cu 0.5000 0.6713 0.3317
9 Al 0.5000 0.7717 0.7717

# 24
This record from the Open Quantum Materials Database describes a relaxed Cd2FeOs crystal. The functional is PBE.

Computed properties:
M_tot = 3.42 μB per formula unit
formation energy from the elements = 0.57 eV per atom
space-group type = F-43m (216)

Unit cell a=4.5259 b=4.5259 c=4.5259 alpha=60.00 beta=60.00 gamma=60.00
Fractional coordinates of all 4 atoms:
1 Cd 0.0000 0.0000 0.0000
2 Cd 0.7500 0.7500 0.7500
3 Fe 0.2500 0.2500 0.2500
4 Os 0.5000 0.5000 0.5000

# 25
This record from the Open Quantum Materials Database describes a relaxed PmReAu crystal. The functional is PBE.

Computed properties:
M_tot = 2.94 μB per formula unit
formation energy from the elements = 1.20 eV per atom
space-group type = F-43m (216)

Unit cell a=4.7864 b=4.7864 c=4.7864 alpha=60.00 beta=60.00 gamma=60.00
Fractional coordinates of all 3 atoms:
1 Au 0.2500 0.2500 0.2500
2 Re 0.7500 0.7500 0.7500
3 Pm 0.0000 0.0000 0.0000

no.,DFT total energy (eV per atom)
1,-4.425
2,-4.739
3,-4.908
4,-3.132
5,-6.941
6,-6.623
7,-3.795
8,-3.612
9,-5.885
10,-6.498
11,-4.071
12,-5.683
13,-4.808
14,-4.712
15,-5.422
16,-7.625
17,-8.317
18,-5.618
19,-3.832
20,-3.662
21,-6.250
22,-6.257
23,-4.830
24,-4.761
25,-5.611